[1]
## Sc2GeB (GGA-PBE)

Data for crystalline Sc2GeB at its relaxed geometry.

The structure belongs to space group R-3m (No. 166, hexagonal axes); the cell edges are 3.4239, 3.4239 and 24.8972 Å and the angles 90.00°, 90.00° and 120.00°. The distinct sites, in fractional coordinates, are Sc at (0.0000, 0.0000, 0.1139), Ge at (0.0000, 0.0000, 0.0000) and B at (0.0000, 0.0000, 0.5000).

The relative energy among the computed polymorphs is 601 meV/atom. The theoretical density is 3.4 g/cm3. The crystal system is trigonal.

[2]
## ScGeB2 (GGA-PBE)

Data for crystalline ScGeB2 at its relaxed geometry.

The structure belongs to space group I-42d (No. 122); the cell edges are 4.169, 4.169 and 13.107 Å and the angles 90.00°, 90.00° and 90.00°. The distinct sites, in fractional coordinates, are Sc at (0.000, 0.000, 0.000), Ge at (0.000, 0.000, 0.500) and B at (0.116, 0.250, 0.625).

The theoretical density is 4.1 g/cm3. The crystal system is tetragonal.

[3]
## Sc2GeB (GGA-PBE)

Data for crystalline Sc2GeB at its relaxed geometry.

The structure belongs to space group Amm2 (No. 38); the cell edges are 3.488, 4.430 and 9.921 Å and the angles 90.00°, 90.00° and 90.00°. The distinct sites, in fractional coordinates, are Sc at (0.000, 0.000, 0.000), Sc at (0.500, 0.000, 0.277), Ge at (0.500, 0.000, 0.569) and B at (0.000, 0.000, 0.427).

The relative energy among the computed polymorphs is 296 meV/atom. The theoretical density is 3.8 g/cm3. The crystal system is orthorhombic.

[4]
## ScGeB3 (GGA-PBE)

Data for crystalline ScGeB3 at its relaxed geometry.

The structure belongs to space group Pm-3m (No. 221); the cell edges are 4.420, 4.420 and 4.420 Å and the angles 90.00°, 90.00° and 90.00°. The distinct sites, in fractional coordinates, are Sc at (0.000, 0.000, 0.000), Ge at (0.500, 0.500, 0.500) and B at (0.000, 0.000, 0.500).

The relative energy among the computed polymorphs is 715 meV/atom. The theoretical density is 2.9 g/cm3. The crystal system is cubic.

[5]
## Sc2GeB (GGA-PBE)

Data for crystalline Sc2GeB at its relaxed geometry.

The structure belongs to space group R3m (No. 160, hexagonal axes); the cell edges are 3.4974, 3.4974 and 19.7797 Å and the angles 90.00°, 90.00° and 120.00°. The distinct sites, in fractional coordinates, are Sc at (0.0000, 0.0000, 0.0000), Sc at (0.0000, 0.0000, 0.2000), Ge at (0.0000, 0.0000, 0.4296) and B at (0.0000, 0.0000, 0.7868).

The relative energy among the computed polymorphs is 273 meV/atom. The theoretical density is 4.1 g/cm3. The crystal system is trigonal.

[6]
## ScGeBW2 (GGA-PBE)

Data for crystalline ScGeBW2 at its relaxed geometry.

The structure belongs to space group P4/mmm (No. 123); the cell edges are 4.792, 4.792 and 3.802 Å and the angles 90.00°, 90.00° and 90.00°. The distinct sites, in fractional coordinates, are Sc at (0.000, 0.000, 0.000), Ge at (0.500, 0.500, 0.500), B at (0.500, 0.500, 0.000) and W at (0.000, 0.500, 0.500).

The theoretical density is 9.4 g/cm3. The crystal system is tetragonal.

ΔH_f (0 K) across the listed records, respectively: 40, 429, -264, 2006, -288, 1452 meV per atom.
Size of the total moment across the listed records, respectively: 1.596, 0.000, 1.271, 0.000, 0.000, 0.000 μB/cell.